[1]
VASP calculation (PBE) on a relaxed Sr2MnW crystal.

Values from the calculation:
For the electronic total energy, the calculation gives -69.56 eV/cell. Its energy above the most stable polymorph in this dataset is 0.000 eV/atom. The value obtained for the density of states at the Fermi level is 13.56 states/eV/cell. The value obtained for the formation energy is 0.575 eV per atom. The volume is 385.58 Å³/cell.

Cell and atoms, written as CIF:
```
data_Sr2MnW
_cell_length_a 4.0898
_cell_length_b 4.0898
_cell_length_c 26.6169
_cell_angle_alpha 90.00
_cell_angle_beta 90.00
_cell_angle_gamma 120.00
_symmetry_space_group_name_H-M 'R 3 m'
_symmetry_Int_Tables_number 160
_symmetry_space_group_name_Hall 'R 3 -2"'
loop_
_atom_site_label
_atom_site_type_symbol
_atom_site_fract_x
_atom_site_fract_y
_atom_site_fract_z
Sr1 Sr 0.0000 0.0000 0.0000
Sr2 Sr 0.0000 0.0000 0.1794
Mn1 Mn 0.0000 0.0000 0.7564
W1 W 0.0000 0.0000 0.4229
```

=====

[2]
VASP calculation (PBE) on a relaxed SrMn2W crystal.

Values from the calculation:
For the electronic total energy, the calculation gives -113.47 eV/cell. Its energy above the most stable polymorph in this dataset is 0.630 eV/atom. The value obtained for the density of states at the Fermi level is 30.92 states/eV/cell. The value obtained for the formation energy is 1.152 eV per atom. The volume is 260.85 Å³/cell.

Cell and atoms, written as CIF:
```
data_SrMn2W
_cell_length_a 6.389
_cell_length_b 6.389
_cell_length_c 6.389
_cell_angle_alpha 90.00
_cell_angle_beta 90.00
_cell_angle_gamma 90.00
_symmetry_space_group_name_H-M 'F m -3 m'
_symmetry_Int_Tables_number 225
_symmetry_space_group_name_Hall '-F 4 2 3'
loop_
_atom_site_label
_atom_site_type_symbol
_atom_site_fract_x
_atom_site_fract_y
_atom_site_fract_z
Sr1 Sr 0.000 0.000 0.000
Mn1 Mn 0.250 0.250 0.250
W1 W 0.000 0.000 0.500
```

=====

[3]
VASP calculation (PBE) on a relaxed SrMn2W crystal.

Values from the calculation:
For the electronic total energy, the calculation gives -88.18 eV/cell. Its energy above the most stable polymorph in this dataset is 0.373 eV/atom. The value obtained for the density of states at the Fermi level is 13.99 states/eV/cell. The value obtained for the formation energy is 0.895 eV per atom. The volume is 233.82 Å³/cell.

Cell and atoms, written as CIF:
```
data_SrMn2W
_cell_length_a 3.1516
_cell_length_b 3.1516
_cell_length_c 27.1816
_cell_angle_alpha 90.00
_cell_angle_beta 90.00
_cell_angle_gamma 120.00
_symmetry_space_group_name_H-M 'R -3 m'
_symmetry_Int_Tables_number 166
_symmetry_space_group_name_Hall '-R 3 2"'
loop_
_atom_site_label
_atom_site_type_symbol
_atom_site_fract_x
_atom_site_fract_y
_atom_site_fract_z
Sr1 Sr 0.0000 0.0000 0.0000
Mn1 Mn 0.0000 0.0000 0.2328
W1 W 0.0000 0.0000 0.5000
```